No. 1
A geometry-optimized TlMoS2N structure, computed with PBE.

The space group is P4/mmm (No. 123) and the conventional cell measures 5.1866, 5.1866 and 4.1854 Å, with angles of 90.00, 90.00 and 90.00 degrees. The asymmetric unit holds Tl at (0.0000, 0.0000, 0.0000), Mo at (0.5000, 0.5000, 0.5000), S at (0.0000, 0.5000, 0.0000) and N at (0.0000, 0.0000, 0.5000).

For the relative energy among the computed polymorphs, the calculation gives 1714.4 meV/atom. Its raw formation energy is 1.6800 eV/atom. As for the size of the total moment: 0.39 μB/atom. Its density of states at the Fermi level is 2.8 states/eV/f.u.

No. 2
A geometry-optimized TlMo2SN structure, computed with PBE.

The space group is P4/mmm (No. 123) and the conventional cell measures 4.3913, 4.3913 and 5.4702 Å, with angles of 90.00, 90.00 and 90.00 degrees. The asymmetric unit holds Tl at (0.0000, 0.0000, 0.0000), Mo at (0.0000, 0.5000, 0.5000), S at (0.0000, 0.0000, 0.5000) and N at (0.5000, 0.5000, 0.0000).

Its raw formation energy is 1.8895 eV/atom. As for the size of the total moment: 0.28 μB/atom. Its density of states at the Fermi level is 6.2 states/eV/f.u.

No. 3
A geometry-optimized TlMoSN2 structure, computed with PBE.

The space group is P4/mmm (No. 123) and the conventional cell measures 4.2038, 4.2038 and 5.4090 Å, with angles of 90.00, 90.00 and 90.00 degrees. The asymmetric unit holds Tl at (0.0000, 0.0000, 0.0000), Mo at (0.5000, 0.5000, 0.5000), S at (0.0000, 0.0000, 0.5000) and N at (0.0000, 0.5000, 0.0000).

For the relative energy among the computed polymorphs, the calculation gives 1841.2 meV/atom. Its raw formation energy is 2.1411 eV/atom. As for the size of the total moment: 0.30 μB/atom. Its density of states at the Fermi level is 2.0 states/eV/f.u.

No. 4
A geometry-optimized TlMoSN2 structure, computed with PBE.

The space group is P4/mmm (No. 123) and the conventional cell measures 3.9756, 3.9756 and 5.0931 Å, with angles of 90.00, 90.00 and 90.00 degrees. The asymmetric unit holds Tl at (0.0000, 0.0000, 0.0000), Mo at (0.5000, 0.5000, 0.5000), S at (0.5000, 0.5000, 0.0000) and N at (0.0000, 0.5000, 0.5000).

For the relative energy among the computed polymorphs, the calculation gives 0.0 meV/atom. Its raw formation energy is 0.2999 eV/atom. As for the size of the total moment: 0.00 μB/atom. Its density of states at the Fermi level is 3.0 states/eV/f.u.

No. 5
A geometry-optimized MoWS2N structure, computed with PBE.

The space group is P4/mmm (No. 123) and the conventional cell measures 4.8062, 4.8062 and 3.7311 Å, with angles of 90.00, 90.00 and 90.00 degrees. The asymmetric unit holds Mo at (0.0000, 0.0000, 0.0000), W at (0.5000, 0.5000, 0.5000), S at (0.0000, 0.5000, 0.0000) and N at (0.0000, 0.0000, 0.5000).

For the relative energy among the computed polymorphs, the calculation gives 341.4 meV/atom. Its raw formation energy is 0.9168 eV/atom. As for the size of the total moment: 0.71 μB/atom. Its density of states at the Fermi level is 2.8 states/eV/f.u.

No. 6
A geometry-optimized MoWS2N structure, computed with PBE.

The space group is P4/mmm (No. 123) and the conventional cell measures 4.8128, 4.8128 and 3.8008 Å, with angles of 90.00, 90.00 and 90.00 degrees. The asymmetric unit holds Mo at (0.0000, 0.0000, 0.0000), W at (0.5000, 0.5000, 0.5000), S at (0.0000, 0.5000, 0.5000) and N at (0.5000, 0.5000, 0.0000).

For the relative energy among the computed polymorphs, the calculation gives 0.0 meV/atom. Its raw formation energy is 0.5753 eV/atom. As for the size of the total moment: 0.83 μB/atom. Its density of states at the Fermi level is 2.8 states/eV/f.u.

No. 7
A geometry-optimized MoWSN2 structure, computed with PBE.

The space group is P4/mmm (No. 123) and the conventional cell measures 3.8716, 3.8716 and 4.9738 Å, with angles of 90.00, 90.00 and 90.00 degrees. The asymmetric unit holds Mo at (0.0000, 0.0000, 0.0000), W at (0.5000, 0.5000, 0.5000), S at (0.0000, 0.0000, 0.5000) and N at (0.0000, 0.5000, 0.0000).

For the relative energy among the computed polymorphs, the calculation gives 418.7 meV/atom. Its raw formation energy is 1.1012 eV/atom. As for the size of the total moment: 0.60 μB/atom. Its density of states at the Fermi level is 3.2 states/eV/f.u.

No. 8
A geometry-optimized MoWSN2 structure, computed with PBE.

The space group is P4/mmm (No. 123) and the conventional cell measures 3.8995, 3.8995 and 4.9418 Å, with angles of 90.00, 90.00 and 90.00 degrees. The asymmetric unit holds Mo at (0.0000, 0.0000, 0.0000), W at (0.5000, 0.5000, 0.5000), S at (0.5000, 0.5000, 0.0000) and N at (0.0000, 0.5000, 0.5000).

For the relative energy among the computed polymorphs, the calculation gives 0.0 meV/atom. Its raw formation energy is 0.6825 eV/atom. As for the size of the total moment: 0.66 μB/atom. Its density of states at the Fermi level is 3.0 states/eV/f.u.